[1]
A plane-wave DFT calculation with PBE was carried out for a relaxed structure of SrSnMo2Pb. Values from VASP.

Quantum ESPRESSO input file:
```
&SYSTEM
  ibrav = 0, nat = 5, ntyp = 4
/
ATOMIC_SPECIES
Sr 87.62 Sr.upf
Sn 118.71 Sn.upf
Mo 95.94 Mo.upf
Pb 207.20 Pb.upf
CELL_PARAMETERS angstrom
6.025 0.000 0.000
0.000 6.025 0.000
0.000 0.000 6.812
ATOMIC_POSITIONS angstrom
Sr 0.000 0.000 0.000
Sn 0.000 0.000 3.406
Mo 0.000 3.013 3.406
Mo 3.013 0.000 3.406
Pb 3.013 3.013 0.000
```

E_form = 1.743 eV per atom
space-group type = P4/mmm

=====

[2]
A plane-wave DFT calculation with PBE was carried out for a relaxed structure of SnMoPb2W. Values from VASP.

Quantum ESPRESSO input file:
```
&SYSTEM
  ibrav = 0, nat = 5, ntyp = 4
/
ATOMIC_SPECIES
Sn 118.71 Sn.upf
Mo 95.94 Mo.upf
Pb 207.20 Pb.upf
W 183.84 W.upf
CELL_PARAMETERS angstrom
5.704 0.000 0.000
0.000 5.704 0.000
0.000 0.000 5.166
ATOMIC_POSITIONS angstrom
Sn 0.000 0.000 0.000
Mo 2.852 2.852 2.583
Pb 0.000 2.852 0.000
Pb 2.852 0.000 0.000
W 0.000 0.000 2.583
```

E_form = 2.171 eV per atom
space-group type = P4/mmm

=====

[3]
A plane-wave DFT calculation with PBE was carried out for a relaxed structure of SrMoPb3. Values from VASP.

Quantum ESPRESSO input file:
```
&SYSTEM
  ibrav = 0, nat = 5, ntyp = 3
/
ATOMIC_SPECIES
Sr 87.62 Sr.upf
Mo 95.94 Mo.upf
Pb 207.20 Pb.upf
CELL_PARAMETERS angstrom
5.463 0.000 0.000
0.000 5.463 0.000
0.000 0.000 5.463
ATOMIC_POSITIONS angstrom
Sr 0.000 0.000 0.000
Mo 2.731 2.731 2.731
Pb 0.000 2.731 2.731
Pb 2.731 0.000 2.731
Pb 2.731 2.731 0.000
```

E_form = 0.205 eV per atom
space-group type = Pm-3m

=====

[4]
A plane-wave DFT calculation with PBE was carried out for a relaxed structure of SrMoPb. Values from VASP.

Quantum ESPRESSO input file:
```
&SYSTEM
  ibrav = 0, nat = 3, ntyp = 3
/
ATOMIC_SPECIES
Sr 87.62 Sr.upf
Mo 95.94 Mo.upf
Pb 207.20 Pb.upf
CELL_PARAMETERS angstrom
3.535 0.000 0.000
-1.767 3.061 0.000
0.000 0.000 7.392
ATOMIC_POSITIONS angstrom
Sr 0.000 0.000 0.000
Mo 1.767 1.020 2.446
Pb 0.000 2.041 4.449
```

E_form = 0.791 eV per atom
space-group type = P3m1

=====

[5]
A plane-wave DFT calculation with PBE was carried out for a relaxed structure of SrMoPb2. Values from VASP.

Quantum ESPRESSO input file:
```
&SYSTEM
  ibrav = 0, nat = 4, ntyp = 3
/
ATOMIC_SPECIES
Sr 87.62 Sr.upf
Mo 95.94 Mo.upf
Pb 207.20 Pb.upf
CELL_PARAMETERS angstrom
1.734 1.001 10.762
-1.734 1.001 10.762
0.000 -2.002 10.762
ATOMIC_POSITIONS angstrom
Sr 0.000 0.000 0.000
Mo 0.000 0.000 8.260
Pb 0.000 0.000 16.877
Pb 0.000 0.000 24.640
```

E_form = 0.664 eV per atom
space-group type = R3m

=====

[6]
A plane-wave DFT calculation with PBE was carried out for a relaxed structure of SrMoPb. Values from VASP.

Quantum ESPRESSO input file:
```
&SYSTEM
  ibrav = 0, nat = 3, ntyp = 3
/
ATOMIC_SPECIES
Sr 87.62 Sr.upf
Mo 95.94 Mo.upf
Pb 207.20 Pb.upf
CELL_PARAMETERS angstrom
5.046 0.000 0.000
-2.523 4.370 0.000
0.000 0.000 3.884
ATOMIC_POSITIONS angstrom
Sr 0.000 0.000 0.000
Mo 2.523 1.457 1.942
Pb 0.000 2.913 1.942
```

E_form = 0.611 eV per atom
space-group type = P-6m2

=====

[7]
A plane-wave DFT calculation with PBE was carried out for a relaxed structure of SrMoPb2. Values from VASP.

Quantum ESPRESSO input file:
```
&SYSTEM
  ibrav = 0, nat = 4, ntyp = 3
/
ATOMIC_SPECIES
Sr 87.62 Sr.upf
Mo 95.94 Mo.upf
Pb 207.20 Pb.upf
CELL_PARAMETERS angstrom
3.780 0.000 0.000
0.000 3.780 0.000
0.000 0.000 7.985
ATOMIC_POSITIONS angstrom
Sr 0.000 0.000 0.000
Mo 1.890 1.890 2.461
Pb 0.000 0.000 3.320
Pb 1.890 1.890 5.486
```

E_form = 0.424 eV per atom
space-group type = P4mm

=====

[8]
A plane-wave DFT calculation with PBE was carried out for a relaxed structure of SrMoPb. Values from VASP.

Quantum ESPRESSO input file:
```
&SYSTEM
  ibrav = 0, nat = 3, ntyp = 3
/
ATOMIC_SPECIES
Sr 87.62 Sr.upf
Mo 95.94 Mo.upf
Pb 207.20 Pb.upf
CELL_PARAMETERS angstrom
0.000 3.640 3.640
3.640 0.000 3.640
3.640 3.640 0.000
ATOMIC_POSITIONS angstrom
Sr 0.000 0.000 0.000
Mo 1.820 1.820 1.820
Pb 3.640 3.640 3.640
```

E_form = 0.816 eV per atom
space-group type = F-43m

=====

[9]
A plane-wave DFT calculation with PBE was carried out for a relaxed structure of SrMoPb2. Values from VASP.

Quantum ESPRESSO input file:
```
&SYSTEM
  ibrav = 0, nat = 8, ntyp = 3
/
ATOMIC_SPECIES
Sr 87.62 Sr.upf
Mo 95.94 Mo.upf
Pb 207.20 Pb.upf
CELL_PARAMETERS angstrom
-2.828 2.828 9.125
2.828 -2.828 9.125
2.828 2.828 -9.125
ATOMIC_POSITIONS angstrom
Sr 0.000 0.000 0.000
Sr 0.000 2.828 4.562
Mo 2.828 0.000 4.562
Mo 0.000 0.000 9.125
Pb 1.414 -0.638 6.844
Pb 2.191 1.414 2.281
Pb 1.414 3.466 -2.281
Pb 0.638 1.414 11.406
```

E_form = 0.607 eV per atom
space-group type = I-42d

=====

[10]
A plane-wave DFT calculation with PBE was carried out for a relaxed structure of SrMoPb2. Values from VASP.

Quantum ESPRESSO input file:
```
&SYSTEM
  ibrav = 0, nat = 4, ntyp = 3
/
ATOMIC_SPECIES
Sr 87.62 Sr.upf
Mo 95.94 Mo.upf
Pb 207.20 Pb.upf
CELL_PARAMETERS angstrom
0.000 3.749 3.749
3.749 0.000 3.749
3.749 3.749 0.000
ATOMIC_POSITIONS angstrom
Sr 0.000 0.000 0.000
Mo 3.749 3.749 3.749
Pb 1.874 1.874 1.874
Pb 5.623 5.623 5.623
```

E_form = 0.413 eV per atom
space-group type = Fm-3m

=====

[11]
A plane-wave DFT calculation with PBE was carried out for a relaxed structure of SrMoPb2. Values from VASP.

Quantum ESPRESSO input file:
```
&SYSTEM
  ibrav = 0, nat = 4, ntyp = 3
/
ATOMIC_SPECIES
Sr 87.62 Sr.upf
Mo 95.94 Mo.upf
Pb 207.20 Pb.upf
CELL_PARAMETERS angstrom
4.713 -1.964 0.000
4.713 1.964 0.000
-1.850 0.000 6.002
ATOMIC_POSITIONS angstrom
Sr 0.000 0.000 0.000
Mo 3.788 0.000 3.001
Pb 0.893 0.000 4.096
Pb 6.683 0.000 1.906
```

E_form = 0.309 eV per atom
space-group type = C2/m

=====

[12]
A plane-wave DFT calculation with PBE was carried out for a relaxed structure of SrMoPb2. Values from VASP.

Quantum ESPRESSO input file:
```
&SYSTEM
  ibrav = 0, nat = 4, ntyp = 3
/
ATOMIC_SPECIES
Sr 87.62 Sr.upf
Mo 95.94 Mo.upf
Pb 207.20 Pb.upf
CELL_PARAMETERS angstrom
4.895 0.000 0.000
0.000 4.895 0.000
0.000 0.000 4.702
ATOMIC_POSITIONS angstrom
Sr 0.000 0.000 0.000
Mo 2.447 2.447 0.000
Pb 0.000 2.447 2.351
Pb 2.447 0.000 2.351
```

E_form = 0.478 eV per atom
space-group type = P4/mmm

=====

Q: Among the records above, which one has the lowest E_form?
A: SrMoPb3

=====

Repeat the eighth record exactly.
A plane-wave DFT calculation with PBE was carried out for a relaxed structure of SrMoPb. Values from VASP.

Quantum ESPRESSO input file:
```
&SYSTEM
  ibrav = 0, nat = 3, ntyp = 3
/
ATOMIC_SPECIES
Sr 87.62 Sr.upf
Mo 95.94 Mo.upf
Pb 207.20 Pb.upf
CELL_PARAMETERS angstrom
0.000 3.640 3.640
3.640 0.000 3.640
3.640 3.640 0.000
ATOMIC_POSITIONS angstrom
Sr 0.000 0.000 0.000
Mo 1.820 1.820 1.820
Pb 3.640 3.640 3.640
```

E_form = 0.816 eV per atom
space-group type = F-43m

=====

Q: The lowest E_form belongs to which entry?
A: SrMoPb3